First-principles (PBE) data for a geometry-optimized SrPAu2 structure, as listed in Alexandria via LeMat-Bulk.

Final energy in eV per atom: -3.811
Energy of formation in eV per atom: -0.40
Crystal system: orthorhombic
M_tot in μB/f.u.: 0.00

Unit cell a=5.155 b=5.155 c=5.155 alpha=126.76 beta=112.90 gamma=90.71
Atoms (fractional coordinates):
Sr1 0.257 0.757 0.500
P1 0.590 0.590 0.000
Au1 0.955 0.955 0.000
Au2 0.697 0.197 0.500